## PmGdTh (PBE)

Data for crystalline PmGdTh at its relaxed geometry.

Cell lengths 7.6661, 7.6661, 7.6661 Å; angles 90.00, 90.00, 90.00 degrees
With the nearest neighbours (Å) after each atom.
Space group F-43m (No. 216)
Unique sites:
Pm: 0.0000 0.0000 0.0000 x4  4 Th 3.32, 4 Gd 3.32
Gd: 0.2500 0.2500 0.7500 x4  4 Pm 3.32
Th: 0.2500 0.2500 0.2500 x4  4 Pm 3.32

## Properties
For the theoretical density, the calculation gives 7.877 g/cm³. The value obtained for the calculated formation energy is 0.8165 eV/atom.